(1)
18
Lattice="5.622 0.000 0.000 -2.811 4.869 0.000 0.000 0.000 9.619" Properties=species:S:1:pos:R:3 comment="GGA-PBE TmPaTeO6, relaxed" e_form_raw_ev_per_atom=-2.6569 m_tot_mub_per_fu=0.00 dft_energy_ev_per_fu=-70.770 mass_density_kg_m3=7864 pbc="T T T"
O 4.680 1.573 1.244
O 0.978 4.840 8.375
O -0.891 1.603 6.053
O 1.869 3.296 6.053
O 3.789 0.030 3.566
O -0.978 4.840 6.053
O 0.891 1.603 8.375
O -1.869 3.296 8.375
O 3.702 3.266 3.566
O 1.834 0.030 1.244
O 1.920 3.266 1.244
O 0.942 1.573 3.566
Tm 2.811 1.623 7.214
Tm 0.000 3.246 2.405
Te 0.000 3.246 7.214
Te 2.811 1.623 2.405
Pa 0.000 0.000 4.809
Pa 0.000 0.000 0.000

***

(2)
5
Lattice="-2.792 1.454 -2.657 -0.756 -3.834 -1.303 -2.933 -0.395 2.865" Properties=species:S:1:pos:R:3 comment="GGA-PBE ZrZn3H, relaxed" m_tot_mub_per_fu=0.00 dft_energy_ev_per_fu=-15.235 mass_density_kg_m3=6854 pbc="T T T"
Zr -3.240 -1.387 -0.548
Zn -0.378 -1.917 -0.652
Zn -1.396 0.727 -1.328
Zn -1.466 -0.198 1.433
H 0.000 0.000 0.000

***

(3)
5
Lattice="4.902 0.000 0.000 0.000 4.902 0.000 0.000 0.000 4.902" Properties=species:S:1:pos:R:3 comment="GGA-PBE Yb3GaC, relaxed" formation_enthalpy_0k_ev_per_atom=-0.157 m_tot_mub_per_fu=0.01 dft_energy_ev_per_fu=-17.613 mass_density_kg_m3=8468 pbc="T T T"
Ga 0.000 0.000 0.000
Yb 2.451 0.000 2.451
Yb 0.000 2.451 2.451
Yb 2.451 2.451 0.000
C 2.451 2.451 2.451

***

(4)
11
Lattice="-3.060 0.582 -1.810 -4.480 -10.566 4.176 -0.767 6.197 6.876" Properties=species:S:1:pos:R:3 comment="GGA-PBE La2Nd5Tm4, relaxed" formation_enthalpy_0k_ev_per_atom=0.136 m_tot_mub_per_fu=0.00 relative_energy_mev_per_atom=0 dft_energy_ev_per_fu=-50.085 mass_density_kg_m3=7271 pbc="T T T"
Nd -2.816 -4.084 3.448
Nd -0.816 2.029 2.032
Nd -5.491 0.298 5.794
Nd -1.530 0.291 -0.905
Nd -7.491 -5.815 7.209
La -3.691 -0.538 2.482
La -4.616 -3.248 6.760
Tm -2.551 1.858 4.911
Tm -3.400 -7.865 3.219
Tm -5.756 -5.645 4.331
Tm -4.907 4.079 6.023

***

(5)
8
Lattice="-2.014 -3.394 -1.952 3.520 1.663 -6.524 6.620 -3.734 -0.337" Properties=species:S:1:pos:R:3 comment="GGA-PBE DyTm2ThSb4, relaxed" e_form_raw_ev_per_atom=-1.0526 m_tot_mub_per_fu=0.00 dft_energy_ev_per_fu=-45.875 mass_density_kg_m3=8442 pbc="T T T"
Sb 0.536 -3.955 -3.607
Sb 3.320 -1.379 -5.994
Sb 4.806 -4.086 -2.818
Sb 7.590 -1.510 -5.206
Th 0.753 -0.866 -4.238
Dy 5.070 -1.036 -3.430
Tm 2.303 -3.564 -1.144
Tm 6.620 -3.734 -0.337

***

(6)
10
Lattice="9.260 0.000 0.923 0.000 7.025 0.000 -2.301 -3.513 5.315" Properties=species:S:1:pos:R:3 comment="GGA-PBE La6TbPmNd2, relaxed" formation_enthalpy_0k_ev_per_atom=0.177 m_tot_mub_per_fu=0.00 dft_energy_ev_per_fu=-46.715 mass_density_kg_m3=6564 pbc="T T T"
La 3.649 0.000 4.496
La 6.533 1.643 2.841
La 6.533 5.382 2.841
La 3.310 3.513 1.743
La 0.426 -1.870 3.398
La 0.426 1.870 3.398
Nd 1.231 0.000 0.947
Nd 5.728 3.513 5.292
Tb 0.000 3.513 0.000
Pm 4.630 0.000 0.462

***

(7)
4
Lattice="1.875 -1.037 4.360 -2.749 0.407 3.986 -1.437 -3.986 2.377" Properties=species:S:1:pos:R:3 comment="GGA-PBE RePdI2, relaxed" e_form_raw_ev_per_atom=1.0986 m_tot_mub_per_fu=0.00 relative_energy_mev_per_atom=182 dft_energy_ev_per_fu=-16.347 mass_density_kg_m3=11188 pbc="T T T"
I -1.733 -3.463 8.042
I -0.578 -1.154 2.681
Pd 0.000 0.000 0.000
Re -1.155 -2.308 5.362

***

(8)
9
Lattice="4.368 0.000 0.001 2.183 4.475 0.639 0.000 0.697 8.955" Properties=species:S:1:pos:R:3 comment="GGA-PBE Tm2Hg3Pd4, relaxed" formation_enthalpy_0k_ev_per_atom=-0.612 m_tot_mub_per_fu=0.00 relative_energy_mev_per_atom=0 dft_energy_ev_per_fu=-36.126 mass_density_kg_m3=13099 pbc="T T T"
Tm 4.367 3.092 2.363
Tm 2.184 2.080 7.232
Hg 2.183 1.745 4.085
Hg 4.368 3.427 5.511
Hg 0.000 0.000 0.000
Pd 4.367 3.627 8.429
Pd 2.184 1.545 1.166
Pd 2.182 4.640 3.567
Pd 4.369 0.532 6.029

***

(9)
15
Lattice="-6.764 3.622 2.722 -0.429 -5.348 -6.124 1.554 -3.150 8.054" Properties=species:S:1:pos:R:3 comment="GGA-PBE K3Ce3MgS8, relaxed" e_form_raw_ev_per_atom=-1.6584 m_tot_mub_per_fu=0.38 dft_energy_ev_per_fu=-80.585 mass_density_kg_m3=3189 pbc="T T T"
S -0.659 -3.786 3.399
S -1.561 -2.801 -0.152
S -4.760 1.629 4.366
S -4.979 -1.090 1.253
S -1.322 -0.212 2.983
S -4.077 -2.075 4.804
S -4.316 -4.664 1.670
S -0.878 -6.505 0.286
K 0.000 0.000 0.000
K -3.596 -0.863 -1.701
K -0.214 -2.674 -3.062
Ce -2.605 0.236 5.388
Ce -2.819 -2.438 2.326
Ce 0.563 -4.249 0.965
Mg 0.777 -1.575 4.027

***

(10)
12
Lattice="-2.278 3.457 0.280 -3.029 -1.696 -3.705 -5.171 -3.894 6.010" Properties=species:S:1:pos:R:3 comment="GGA-PBE AcInCu10, relaxed" formation_enthalpy_0k_ev_per_atom=-0.039 m_tot_mub_per_fu=0.00 dft_energy_ev_per_fu=-48.279 mass_density_kg_m3=8720 pbc="T T T"
In -4.100 -2.795 1.152
Cu -2.654 0.880 -1.713
Cu -5.683 -3.988 2.992
Cu -3.230 0.301 0.757
Cu -2.516 -1.603 -0.688
Cu -3.724 -0.218 3.145
Cu -4.739 -0.544 -1.089
Cu -7.248 -2.434 1.827
Cu -1.806 -1.360 2.100
Cu -3.364 -2.533 3.910
Cu -5.739 -1.589 3.673
Ac 0.000 0.000 0.000

***

(11)
8
Lattice="4.568 0.000 0.000 2.284 3.956 0.000 2.284 1.319 9.991" Properties=species:S:1:pos:R:3 comment="GGA-PBE KAlZn2Ga4, relaxed" formation_enthalpy_0k_ev_per_atom=-0.004 m_tot_mub_per_fu=0.00 dft_energy_ev_per_fu=-19.526 mass_density_kg_m3=4377 pbc="T T T"
Zn 6.851 3.956 6.664
Zn 2.284 1.319 3.328
Ga 4.568 2.637 2.321
Ga 6.851 3.956 3.785
Ga 2.284 1.319 6.206
Ga 4.568 2.637 7.670
Al 4.568 2.637 4.996
K 0.000 0.000 0.000

***

(12)
20
Lattice="4.145 0.000 0.000 0.000 9.021 -0.319 0.000 -0.096 9.261" Properties=species:S:1:pos:R:3 comment="GGA-PBE Zn3Ag6Hg, relaxed" formation_enthalpy_0k_ev_per_atom=-0.005 m_tot_mub_per_fu=0.00 relative_energy_mev_per_atom=0 dft_energy_ev_per_fu=-21.278 mass_density_kg_m3=10017 pbc="T T T"
Zn 1.036 3.066 7.424
Zn 3.109 5.859 1.518
Zn 1.036 4.914 3.472
Zn 3.109 4.011 5.470
Zn 1.036 6.687 8.899
Zn 3.109 2.238 0.043
Hg 1.036 8.470 5.279
Hg 3.109 0.455 3.663
Ag 1.036 7.471 2.357
Ag 1.036 1.417 1.815
Ag 3.109 8.507 0.566
Ag 1.036 5.622 6.241
Ag 1.036 2.416 4.673
Ag 1.036 4.130 0.777
Ag 3.109 4.796 8.165
Ag 3.109 3.303 2.701
Ag 3.109 7.509 7.126
Ag 1.036 0.419 8.376
Ag 3.109 6.509 4.268
Ag 3.109 1.455 6.585

***

(13)
4
Lattice="4.940 0.000 0.000 2.470 4.279 0.000 2.470 1.426 4.034" Properties=species:S:1:pos:R:3 comment="GGA-PBE SmGdCuTc, relaxed" formation_enthalpy_0k_ev_per_atom=-0.019 m_tot_mub_per_fu=7.00 dft_energy_ev_per_fu=-33.339 mass_density_kg_m3=9137 pbc="T T T"
Sm 4.940 2.852 2.017
Tc 7.411 4.279 3.025
Cu 2.470 1.426 1.008
Gd 0.000 0.000 0.000

***

(14)
4
Lattice="3.397 0.000 0.000 0.000 3.397 0.000 0.000 0.000 6.327" Properties=species:S:1:pos:R:3 comment="GGA-PBE MgTePd2, relaxed" e_form_raw_ev_per_atom=-0.4429 m_tot_mub_per_fu=0.00 relative_energy_mev_per_atom=67 dft_energy_ev_per_fu=-16.894 mass_density_kg_m3=8298 pbc="T T T"
Pd 0.000 0.000 4.656
Pd 0.000 0.000 1.670
Te 1.698 1.698 0.000
Mg 1.698 1.698 3.163

***

(15)
4
Lattice="0.000 3.954 3.954 3.954 0.000 3.954 3.954 3.954 0.000" Properties=species:S:1:pos:R:3 comment="GGA-PBE ZnBiI2, relaxed" e_form_raw_ev_per_atom=0.2176 m_tot_mub_per_fu=0.00 relative_energy_mev_per_atom=63 dft_energy_ev_per_fu=-7.385 mass_density_kg_m3=7094 pbc="T T T"
I 1.977 1.977 1.977
I 5.931 5.931 5.931
Zn 0.000 0.000 0.000
Bi 3.954 3.954 3.954

***

(16)
5
Lattice="-5.596 0.128 -1.168 -0.041 -5.702 -0.427 -1.174 -0.409 5.581" Properties=species:S:1:pos:R:3 comment="GGA-PBE Ca3ZrCd, relaxed" formation_enthalpy_0k_ev_per_atom=0.826 m_tot_mub_per_fu=0.00 relative_energy_mev_per_atom=239 dft_energy_ev_per_fu=-11.339 mass_density_kg_m3=2877 pbc="T T T"
Zr 0.000 0.000 0.000
Ca -0.587 -0.205 2.791
Ca -2.798 0.064 -0.584
Ca -0.021 -2.851 -0.214
Cd -3.406 -2.992 1.993

***

(17)
8
Lattice="7.694 0.000 0.000 0.000 7.694 0.000 3.847 3.847 2.537" Properties=species:S:1:pos:R:3 comment="GGA-PBE Li2VCl, relaxed" e_form_raw_ev_per_atom=0.0312 m_tot_mub_per_fu=3.64 relative_energy_mev_per_atom=0 dft_energy_ev_per_fu=-14.668 mass_density_kg_m3=2218 pbc="T T T"
Li 5.770 6.365 1.903
Li 9.617 9.022 1.903
Li 5.175 1.923 0.634
Li 2.518 5.770 0.634
V 7.694 3.847 1.268
V 0.000 0.000 0.000
Cl 3.847 3.847 0.000
Cl 3.847 7.694 1.268

***

(18)
12
Lattice="-7.369 -1.782 0.035 4.048 -0.517 6.390 -0.555 7.680 -0.531" Properties=species:S:1:pos:R:3 comment="GGA-PBE Ca3TbTm2Te6, relaxed" e_form_raw_ev_per_atom=-1.4247 m_tot_mub_per_fu=0.00 dft_energy_ev_per_fu=-55.524 mass_density_kg_m3=6321 pbc="T T T"
Te -4.838 3.876 3.345
Te -2.602 0.149 4.644
Te -0.986 4.303 5.489
Te -2.891 1.079 0.404
Te 0.961 1.505 2.548
Te -1.275 5.233 1.249
Tm 0.249 -0.938 4.276
Tm -3.571 -1.361 2.149
Ca 1.888 3.114 5.076
Ca -5.764 2.267 0.817
Ca -1.938 2.691 2.947
Tb 0.000 0.000 0.000

***

(19)
12
Lattice="-2.970 2.180 -5.028 5.013 -3.642 -0.677 -4.225 -5.812 -0.024" Properties=species:S:1:pos:R:3 comment="GGA-PBE Ba3HoPb2O6, relaxed" e_form_raw_ev_per_atom=-2.2289 m_tot_mub_per_fu=0.37 dft_energy_ev_per_fu=-74.259 mass_density_kg_m3=7468 pbc="T T T"
O -2.033 -4.572 -4.645
O 2.329 -4.502 -1.418
O -3.043 -3.850 -1.825
O -4.511 -2.772 -4.311
O 0.861 -3.424 -3.903
O -0.149 -2.701 -1.083
Ba -1.923 -1.980 -3.587
Ba -0.259 -5.293 -2.142
Ba 0.000 0.000 0.000
Pb 1.808 -2.450 -2.130
Pb -3.990 -4.824 -3.598
Ho -2.113 -2.906 -0.012

***

(20)
5
Lattice="5.029 0.000 0.000 0.000 4.959 0.000 0.000 0.000 4.959" Properties=species:S:1:pos:R:3 comment="GGA-PBE Tb2ThSnC, relaxed" formation_enthalpy_0k_ev_per_atom=-0.513 m_tot_mub_per_fu=0.00 dft_energy_ev_per_fu=-32.470 mass_density_kg_m3=9141 pbc="T T T"
Tb 0.000 0.000 2.479
Tb 0.000 2.479 0.000
C 0.000 0.000 0.000
Sn 2.514 2.479 2.479
Th 2.514 0.000 0.000